# Li6PS5I

A relaxed structure of Li6PS5I (PBE, the Alexandria database).

Lattice parameters (Å, degrees): 7.319 7.319 7.319 60.00 60.00 60.00
Atoms (fractional coordinates):
P 0.500 0.500 0.500
Li 0.524 0.524 0.976
S 0.750 0.750 0.750
S 0.385 0.385 0.385
S 0.845 0.385 0.385
Li 0.524 0.976 0.976
Li 0.976 0.524 0.976
Li 0.976 0.976 0.524
Li 0.976 0.524 0.524
S 0.385 0.845 0.385
Li 0.524 0.976 0.524
I 0.000 0.000 0.000
S 0.385 0.385 0.845

Polymorph energy (0 for the lowest one): 0.022 eV/atom
ΔE_f (raw): -13.6 eV/f.u.
V: 21.3 Å³/atom

---

# SiB2C

A relaxed structure of SiB2C (PBE, the Alexandria database).

Lattice parameters (Å, degrees): 2.769 3.964 4.190 85.23 70.80 69.82
Atoms (fractional coordinates):
C 0.993 0.983 0.809
B 0.451 0.882 0.994
B 0.138 0.071 0.432
Si 0.626 0.358 0.169

Polymorph energy (0 for the lowest one): 0.113 eV/atom
ΔE_f (raw): 1.5 eV/f.u.
V: 10.2 Å³/atom

---

# LaDy2Y5Th

A relaxed structure of LaDy2Y5Th (PBE, the Alexandria database).

Lattice parameters (Å, degrees): 5.778 11.004 9.838 90.00 90.00 105.22
Atoms (fractional coordinates):
Y 0.388 0.777 0.033
Dy 0.112 0.223 0.322
Y 0.014 0.027 0.017
La 0.404 0.808 0.423
Y 0.612 0.223 0.533
Y 0.266 0.532 0.340
Th 0.809 0.617 0.525
La 0.596 0.192 0.923
Dy 0.888 0.777 0.822
Y 0.473 0.945 0.741
Y 0.986 0.973 0.517
Th 0.191 0.383 0.025
Y 0.696 0.392 0.213
Y 0.304 0.608 0.713
Y 0.527 0.055 0.241
Y 0.734 0.468 0.840
Dy 0.131 0.262 0.711
Dy 0.869 0.738 0.211

DFT formation energy: 0.166 eV/atom
V: 33.5 Å³/atom

---

# LiGd2Hg

A relaxed structure of LiGd2Hg (PBE, the Alexandria database).

Lattice parameters (Å, degrees): 5.265 5.265 5.265 60.00 60.00 60.00
Atoms (fractional coordinates):
Li 0.000 0.000 0.000
Hg 0.500 0.500 0.500
Gd 0.250 0.250 0.250
Gd 0.750 0.750 0.750

DFT formation energy: -0.235 eV/atom
Polymorph energy (0 for the lowest one): 0.010 eV/atom
V: 25.8 Å³/atom

---

| no. | N(E_F) (states/eV/cell) |
| --- | --- |
| 1 | 0.000 |
| 2 | 0.879 |
| 3 | 26.737 |
| 4 | 4.673 |